<a>
VASP calculation (PBE-GGA) on a geometry-optimized Ca2Ac5Nd2 structure.

Values from the calculation:
D(E_F) (states/eV/atom): 1.496
Volume (Å³ per cell): 379
Space group: C2/m (12)

Cell: 6.137 6.137 11.443 Å, 93.97 93.97 61.90°
Fractional coordinates of all 9 atoms:
Ca (0.173, 0.173, 0.117)
Ca (0.827, 0.827, 0.883)
Ac (0.156, 0.156, 0.777)
Ac (0.482, 0.482, 0.656)
Ac (0.500, 0.500, 0.000)
Ac (0.518, 0.518, 0.344)
Ac (0.844, 0.844, 0.223)
Nd (0.173, 0.173, 0.449)
Nd (0.827, 0.827, 0.551)

<b>
VASP calculation (PBE-GGA) on a geometry-optimized Ca2Ac5Nd2 structure.

Values from the calculation:
D(E_F) (states/eV/atom): 1.435
Volume (Å³ per cell): 811
Space group: Cmce (64)

Cell: 12.233 12.233 8.445 Å, 90.00 90.00 39.90°
Fractional coordinates of all 18 atoms:
Ca (0.237, 0.237, 0.000)
Ca (0.263, 0.263, 0.500)
Ca (0.737, 0.737, 0.500)
Ca (0.763, 0.763, 0.000)
Ac (0.000, 0.000, 0.000)
Ac (0.060, 0.700, 0.679)
Ac (0.200, 0.560, 0.179)
Ac (0.300, 0.940, 0.679)
Ac (0.440, 0.800, 0.179)
Ac (0.500, 0.500, 0.500)
Ac (0.560, 0.200, 0.821)
Ac (0.700, 0.060, 0.321)
Ac (0.800, 0.440, 0.821)
Ac (0.940, 0.300, 0.321)
Nd (0.128, 0.872, 0.369)
Nd (0.372, 0.628, 0.869)
Nd (0.628, 0.372, 0.131)
Nd (0.872, 0.128, 0.631)

Most favorable first, least favorable last: <a>, <b>

<a>
VASP calculation (PBE-GGA) on a geometry-optimized HgAu2Cl structure.

Values from the calculation:
D(E_F) (states/eV/atom): 0.311
Volume (Å³ per cell): 87
Space group: Cmmm (65)

Cell: 3.484 3.484 8.764 Å, 90.00 90.00 124.72°
Fractional coordinates of all 4 atoms:
Hg (0.000, 0.000, 0.000)
Au (0.500, 0.500, 0.256)
Au (0.500, 0.500, 0.744)
Cl (0.000, 0.000, 0.500)

<b>
VASP calculation (PBE-GGA) on a geometry-optimized HgAu2Cl structure.

Values from the calculation:
D(E_F) (states/eV/atom): 0.342
Volume (Å³ per cell): 105
Space group: Pm (6)

Cell: 4.216 3.647 6.827 Å, 90.00 90.28 90.00°
Fractional coordinates of all 4 atoms:
Hg (0.000, 0.000, 0.000)
Au (0.498, 0.000, 0.710)
Au (0.997, 0.500, 0.677)
Cl (0.999, 0.500, 0.287)

Most favorable first, least favorable last: <b>, <a>

<a>
VASP calculation (PBE-GGA) on a geometry-optimized KScHg2 structure.

Values from the calculation:
D(E_F) (states/eV/atom): 0.692
Volume (Å³ per cell): 123
Space group: Pmm2 (25)

Cell: 3.900 4.006 7.901 Å, 90.00 90.00 90.00°
Fractional coordinates of all 4 atoms:
K (0.000, 0.000, 0.000)
Sc (0.500, 0.500, 0.622)
Hg (0.000, 0.000, 0.515)
Hg (0.500, 0.500, 0.253)

<b>
VASP calculation (PBE-GGA) on a geometry-optimized KScHg2 structure.

Values from the calculation:
D(E_F) (states/eV/atom): 0.539
Volume (Å³ per cell): 111
Space group: Amm2 (38)

Cell: 5.221 6.493 6.493 Å, 30.28 90.00 90.00°
Fractional coordinates of all 4 atoms:
K (0.000, 0.000, 0.000)
Sc (0.500, 0.284, 0.284)
Hg (0.000, 0.748, 0.748)
Hg (0.500, 0.587, 0.587)

Most favorable first, least favorable last: <b>, <a>

<a>
VASP calculation (PBE-GGA) on a geometry-optimized TiGa2I structure.

Values from the calculation:
D(E_F) (states/eV/atom): 1.056
Volume (Å³ per cell): 178
Space group: I-42d (122)

Cell: 11.276 11.276 11.276 Å, 159.36 159.36 29.36°
Fractional coordinates of all 8 atoms:
Ti (0.000, 0.000, 0.000)
Ti (0.750, 0.250, 0.500)
Ga (0.100, 0.625, 0.975)
Ga (0.375, 0.350, 0.475)
Ga (0.650, 0.125, 0.025)
Ga (0.875, 0.900, 0.525)
I (0.250, 0.750, 0.500)
I (0.500, 0.500, 0.000)

<b>
VASP calculation (PBE-GGA) on a geometry-optimized TiGa2I structure.

Values from the calculation:
D(E_F) (states/eV/atom): 1.073
Volume (Å³ per cell): 92
Space group: Fm-3m (225)

Cell: 5.059 5.059 5.059 Å, 60.00 60.00 60.00°
Fractional coordinates of all 4 atoms:
Ti (0.000, 0.000, 0.000)
Ga (0.250, 0.250, 0.250)
Ga (0.750, 0.750, 0.750)
I (0.500, 0.500, 0.500)

Most favorable first, least favorable last: <a>, <b>

<a>
VASP calculation (PBE-GGA) on a geometry-optimized TeRu2Cl structure.

Values from the calculation:
D(E_F) (states/eV/atom): 1.199
Volume (Å³ per cell): 66
Space group: Fm-3m (225)

Cell: 4.547 4.547 4.547 Å, 60.00 60.00 60.00°
Fractional coordinates of all 4 atoms:
Te (0.000, 0.000, 0.000)
Ru (0.250, 0.250, 0.250)
Ru (0.750, 0.750, 0.750)
Cl (0.500, 0.500, 0.500)

<b>
VASP calculation (PBE-GGA) on a geometry-optimized TeRu2Cl structure.

Values from the calculation:
D(E_F) (states/eV/atom): 1.343
Volume (Å³ per cell): 75
Space group: P2/m (10)

Cell: 3.007 4.135 6.069 Å, 90.00 99.05 90.00°
Fractional coordinates of all 4 atoms:
Te (0.000, 0.000, 0.000)
Ru (0.205, 0.500, 0.321)
Ru (0.795, 0.500, 0.679)
Cl (0.500, 0.000, 0.500)

Most favorable first, least favorable last: <a>, <b>

<a>
VASP calculation (PBE-GGA) on a geometry-optimized BC2 structure.

Values from the calculation:
D(E_F) (states/eV/atom): 0.121
Volume (Å³ per cell): 77
Space group: Cm (8)

Cell: 6.075 6.075 5.230 Å, 102.07 102.07 24.00°
Fractional coordinates of all 12 atoms:
B (0.000, 0.000, 0.000)
B (0.012, 0.012, 0.499)
B (0.399, 0.399, 0.444)
B (0.748, 0.748, 0.614)
C (0.093, 0.093, 0.284)
C (0.093, 0.093, 0.795)
C (0.324, 0.324, 0.150)
C (0.334, 0.334, 0.679)
C (0.401, 0.401, 0.946)
C (0.664, 0.664, 0.842)
C (0.667, 0.667, 0.317)
C (0.748, 0.748, 0.114)

<b>
VASP calculation (PBE-GGA) on a geometry-optimized BC2 structure.

Values from the calculation:
D(E_F) (states/eV/atom): 0.042
Volume (Å³ per cell): 79
Space group: P-1 (2)

Cell: 4.474 4.627 4.653 Å, 60.31 70.25 78.09°
Fractional coordinates of all 12 atoms:
B (0.076, 0.494, 0.243)
B (0.423, 0.222, 0.800)
B (0.577, 0.778, 0.200)
B (0.924, 0.506, 0.757)
C (0.067, 0.139, 0.001)
C (0.069, 0.848, 0.640)
C (0.435, 0.841, 0.530)
C (0.441, 0.488, 0.197)
C (0.559, 0.512, 0.803)
C (0.565, 0.159, 0.470)
C (0.931, 0.152, 0.360)
C (0.933, 0.861, 0.999)

Most favorable first, least favorable last: <a>, <b>

<a>
VASP calculation (PBE-GGA) on a geometry-optimized BaScIr2 structure.

Values from the calculation:
D(E_F) (states/eV/atom): 0.509
Volume (Å³ per cell): 86
Space group: P4/mmm (123)

Cell: 4.789 4.789 3.742 Å, 90.00 90.00 90.00°
Fractional coordinates of all 4 atoms:
Ba (0.000, 0.000, 0.000)
Sc (0.500, 0.500, 0.000)
Ir (0.000, 0.500, 0.500)
Ir (0.500, 0.000, 0.500)

<b>
VASP calculation (PBE-GGA) on a geometry-optimized BaScIr2 structure.

Values from the calculation:
D(E_F) (states/eV/atom): 1.143
Volume (Å³ per cell): 84
Space group: I-4m2 (119)

Cell: 5.574 5.574 5.574 Å, 135.31 135.31 65.04°
Fractional coordinates of all 4 atoms:
Ba (0.000, 0.000, 0.000)
Sc (0.750, 0.250, 0.500)
Ir (0.250, 0.750, 0.500)
Ir (0.500, 0.500, 0.000)

Most favorable first, least favorable last: <a>, <b>